Here is crystalline UNbTe2 at its relaxed geometry from Alexandria. Energies are from GGA-PBE.

The total energy is -82.36 eV for the cell shown. The volume is 105.84 Å³/f.u. As for the crystal system: trigonal.

The space group is R-3m (No. 166, hexagonal axes) and the conventional cell measures 3.4594, 3.4594 and 30.6382 Å, with angles of 90.00, 90.00 and 120.00 degrees. The distinct sites, in fractional coordinates, are U at (0.0000, 0.0000, 0.0000), Nb at (0.0000, 0.0000, 0.5000) and Te at (0.0000, 0.0000, 0.1026).

***

Here is crystalline Mg2CoCl at its relaxed geometry from Alexandria. Energies are from GGA-PBE.

The total energy is -42.02 eV for the cell shown. The volume is 70.80 Å³/f.u. As for the crystal system: cubic. Its energy above the most stable polymorph in this dataset is 777 meV per atom.

The space group is F-43m (No. 216) and the conventional cell measures 6.5670, 6.5670 and 6.5670 Å, with angles of 90.00, 90.00 and 90.00 degrees. The distinct sites, in fractional coordinates, are Mg at (0.0000, 0.0000, 0.0000), Mg at (0.2500, 0.2500, 0.2500), Co at (0.0000, 0.0000, 0.5000) and Cl at (0.2500, 0.2500, 0.7500).

***

Here is crystalline CuAgF3 at its relaxed geometry from Alexandria. Energies are from GGA-PBE.

The total energy is -70.24 eV for the cell shown. The volume is 70.95 Å³/f.u. As for the crystal system: tetragonal. Its energy above the most stable polymorph in this dataset is 313 meV per atom.

The space group is I-4m2 (No. 119) and the conventional cell measures 4.7955, 4.7955 and 12.3398 Å, with angles of 90.00, 90.00 and 90.00 degrees. The distinct sites, in fractional coordinates, are Cu at (0.0000, 0.0000, 0.0000), Cu at (0.0000, 0.5000, 0.2500), Ag at (0.0000, 0.5000, 0.6382), F at (0.0000, 0.0000, 0.3198) and F at (0.0000, 0.2530, 0.1184).

***

Here is crystalline Nd3HoSc4 at its relaxed geometry from Alexandria. Energies are from GGA-PBE.

The total energy is -87.55 eV for the cell shown. Its calculated formation energy is 54 meV/atom. The volume is 234.12 Å³/f.u. As for the crystal system: orthorhombic.

The space group is Pmn2_1 (No. 31) and the conventional cell measures 10.9051, 7.2019 and 5.9621 Å, with angles of 90.00, 90.00 and 90.00 degrees. The distinct sites, in fractional coordinates, are Nd at (0.0000, 0.1400, 0.0000), Nd at (0.2492, 0.8610, 0.8589), Ho at (0.0000, 0.8576, 0.4969), Sc at (0.0000, 0.3923, 0.5123), Sc at (0.0000, 0.6066, 0.0115) and Sc at (0.2476, 0.6070, 0.3459).

***

Here is crystalline La2DyPu3Te6 at its relaxed geometry from Alexandria. Energies are from GGA-PBE.

The total energy is -183.62 eV for the cell shown. The volume is 379.42 Å³/f.u. As for the crystal system: monoclinic.

The space group is C2/m (No. 12) and the conventional cell measures 19.4773, 4.4578 and 8.9661 Å, with angles of 90.00, 102.90 and 90.00 degrees. The distinct sites, in fractional coordinates, are La at (0.1656, 0.0000, 0.3351), Dy at (0.0000, 0.5000, 0.0000), Pu at (0.0000, 0.5000, 0.5000), Pu at (0.1696, 0.0000, 0.8369), Te at (0.0038, 0.0000, 0.7564), Te at (0.1640, 0.5000, 0.0760) and Te at (0.1649, 0.5000, 0.5916).

***

Here is crystalline CaLa2AgOs at its relaxed geometry from Alexandria. Energies are from GGA-PBE.

The total energy is -25.90 eV for the cell shown. Its calculated formation energy is 7 meV/atom. The volume is 169.53 Å³/f.u. As for the crystal system: tetragonal.

The space group is P4/mmm (No. 123) and the conventional cell measures 5.4726, 5.4726 and 5.6605 Å, with angles of 90.00, 90.00 and 90.00 degrees. The distinct sites, in fractional coordinates, are Ca at (0.0000, 0.0000, 0.0000), La at (0.0000, 0.5000, 0.5000), Ag at (0.5000, 0.5000, 0.0000) and Os at (0.0000, 0.0000, 0.5000).

***

Here is crystalline K3NaIn at its relaxed geometry from Alexandria. Energies are from GGA-PBE.

The total energy is -6.51 eV for the cell shown. Its calculated formation energy is 167 meV/atom. The volume is 321.00 Å³/f.u. As for the crystal system: cubic. Its energy above the most stable polymorph in this dataset is 185 meV per atom.

The space group is Pm-3m (No. 221) and the conventional cell measures 6.8470, 6.8470 and 6.8470 Å, with angles of 90.00, 90.00 and 90.00 degrees. The distinct sites, in fractional coordinates, are K at (0.0000, 0.0000, 0.5000), Na at (0.5000, 0.5000, 0.5000) and In at (0.0000, 0.0000, 0.0000).

***

Here is crystalline Ni2Rh2Au at its relaxed geometry from Alexandria. Energies are from GGA-PBE.

The total energy is -55.61 eV for the cell shown. Its calculated formation energy is 347 meV/atom. The volume is 74.38 Å³/f.u. As for the crystal system: tetragonal. Its energy above the most stable polymorph in this dataset is 162 meV per atom.

The space group is I4/mmm (No. 139) and the conventional cell measures 3.4369, 3.4369 and 12.5940 Å, with angles of 90.00, 90.00 and 90.00 degrees. The distinct sites, in fractional coordinates, are Ni at (0.0000, 0.5000, 0.2500), Rh at (0.0000, 0.0000, 0.1063) and Au at (0.0000, 0.0000, 0.5000).

***

Here is crystalline LaReAu2 at its relaxed geometry from Alexandria. Energies are from GGA-PBE.

The total energy is -89.03 eV for the cell shown. Its calculated formation energy is 418 meV/atom. The volume is 100.62 Å³/f.u. As for the crystal system: tetragonal. Its energy above the most stable polymorph in this dataset is 257 meV per atom.

The space group is I-42d (No. 122) and the conventional cell measures 4.7118, 4.7118 and 18.1277 Å, with angles of 90.00, 90.00 and 90.00 degrees. The distinct sites, in fractional coordinates, are La at (0.0000, 0.0000, 0.0000), Re at (0.0000, 0.0000, 0.5000) and Au at (0.1526, 0.2500, 0.6250).

***

Here is crystalline Pr2AlInPt6 at its relaxed geometry from Alexandria. Energies are from GGA-PBE.

The total energy is -120.60 eV for the cell shown. Its calculated formation energy is -802 meV/atom. The volume is 233.23 Å³/f.u. As for the crystal system: monoclinic.

The space group is C2/m (No. 12) and the conventional cell measures 9.8359, 5.6787 and 8.9748 Å, with angles of 90.00, 111.49 and 90.00 degrees. The distinct sites, in fractional coordinates, are Pr at (0.2032, 0.0000, 0.1091), Al at (0.0000, 0.5000, 0.0000), In at (0.0000, 0.0000, 0.5000), Pt at (0.0079, 0.2483, 0.7730) and Pt at (0.2436, 0.5000, 0.2269).

***

Here is crystalline Ac2Ga3SiAu4 at its relaxed geometry from Alexandria. Energies are from GGA-PBE.

The total energy is -42.30 eV for the cell shown. The volume is 220.42 Å³/f.u. As for the crystal system: tetragonal.

The space group is P-4m2 (No. 115) and the conventional cell measures 4.6118, 4.6118 and 10.3637 Å, with angles of 90.00, 90.00 and 90.00 degrees. The distinct sites, in fractional coordinates, are Ac at (0.0000, 0.5000, 0.2480), Ga at (0.0000, 0.0000, 0.0000), Ga at (0.0000, 0.5000, 0.6298), Si at (0.5000, 0.5000, 0.0000), Au at (0.0000, 0.0000, 0.5000), Au at (0.0000, 0.5000, 0.8801) and Au at (0.5000, 0.5000, 0.5000).

***

Here is crystalline Sm2EuAg at its relaxed geometry from Alexandria. Energies are from GGA-PBE.

The total energy is -22.84 eV for the cell shown. Its calculated formation energy is -70 meV/atom. The volume is 125.85 Å³/f.u. As for the crystal system: tetragonal. Its energy above the most stable polymorph in this dataset is 0 meV per atom.

The space group is P4/mmm (No. 123) and the conventional cell measures 3.7215, 3.7215 and 9.0869 Å, with angles of 90.00, 90.00 and 90.00 degrees. The distinct sites, in fractional coordinates, are Sm at (0.0000, 0.0000, 0.2000), Eu at (0.5000, 0.5000, 0.5000) and Ag at (0.5000, 0.5000, 0.0000).

***

Here is crystalline LiBiSb at its relaxed geometry from Alexandria. Energies are from GGA-PBE.

The total energy is -41.84 eV for the cell shown. The volume is 78.94 Å³/f.u. As for the crystal system: cubic. Its energy above the most stable polymorph in this dataset is 38 meV per atom.

The space group is F-43m (No. 216) and the conventional cell measures 6.8095, 6.8095 and 6.8095 Å, with angles of 90.00, 90.00 and 90.00 degrees. The distinct sites, in fractional coordinates, are Li at (0.0000, 0.0000, 0.0000), Bi at (0.2500, 0.2500, 0.7500) and Sb at (0.2500, 0.2500, 0.2500).

***

Here is crystalline MgGePdPt at its relaxed geometry from Alexandria. Energies are from GGA-PBE.

The total energy is -19.79 eV for the cell shown. Its calculated formation energy is -586 meV/atom. The volume is 62.68 Å³/f.u. As for the crystal system: orthorhombic. Its energy above the most stable polymorph in this dataset is 0 meV per atom.

The space group is Pmmm (No. 47) and the conventional cell measures 3.4613, 4.2175 and 4.2938 Å, with angles of 90.00, 90.00 and 90.00 degrees. The distinct sites, in fractional coordinates, are Mg at (0.0000, 0.0000, 0.0000), Ge at (0.0000, 0.5000, 0.5000), Pd at (0.5000, 0.5000, 0.0000) and Pt at (0.5000, 0.0000, 0.5000).

***

Here is crystalline K3Cr5Br12 at its relaxed geometry from Alexandria. Energies are from GGA-PBE.

The total energy is -712.90 eV for the cell shown. The volume is 629.67 Å³/f.u. As for the crystal system: cubic.

The space group is Ia-3d (No. 230) and the conventional cell measures 17.1423, 17.1423 and 17.1423 Å, with angles of 90.00, 90.00 and 90.00 degrees. The distinct sites, in fractional coordinates, are K at (0.0000, 0.2500, 0.1250), Cr at (0.0000, 0.0000, 0.0000), Cr at (0.0000, 0.2500, 0.3750) and Br at (0.0318, 0.0481, 0.6443).

***

Here is crystalline LiCd2Ag at its relaxed geometry from Alexandria. Energies are from GGA-PBE.

The total energy is -7.25 eV for the cell shown. Its calculated formation energy is -164 meV/atom. The volume is 75.03 Å³/f.u. As for the crystal system: tetragonal. Its energy above the most stable polymorph in this dataset is 36 meV per atom.

The space group is P4mm (No. 99) and the conventional cell measures 3.3422, 3.3422 and 6.7168 Å, with angles of 90.00, 90.00 and 90.00 degrees. The distinct sites, in fractional coordinates, are Li at (0.0000, 0.0000, 0.0000), Cd at (0.0000, 0.0000, 0.4686), Cd at (0.5000, 0.5000, 0.7613) and Ag at (0.5000, 0.5000, 0.2076).

***

Here is crystalline SrSN2F at its relaxed geometry from Alexandria. Energies are from GGA-PBE.

The total energy is -19.21 eV for the cell shown. The volume is 86.54 Å³/f.u. As for the crystal system: tetragonal. Its energy above the most stable polymorph in this dataset is 1296 meV per atom.

The space group is P4/mmm (No. 123) and the conventional cell measures 4.7062, 4.7062 and 3.9074 Å, with angles of 90.00, 90.00 and 90.00 degrees. The distinct sites, in fractional coordinates, are Sr at (0.0000, 0.0000, 0.0000), S at (0.5000, 0.5000, 0.0000), N at (0.0000, 0.5000, 0.5000) and F at (0.5000, 0.5000, 0.5000).

***

Here is crystalline LiPu3Cu8 at its relaxed geometry from Alexandria. Energies are from GGA-PBE.

The total energy is -233.06 eV for the cell shown. Its calculated formation energy is -1 meV/atom. The volume is 194.24 Å³/f.u. As for the crystal system: trigonal.

The space group is R3m (No. 160, hexagonal axes) and the conventional cell measures 5.1752, 5.1752 and 25.1230 Å, with angles of 90.00, 90.00 and 120.00 degrees. The distinct sites, in fractional coordinates, are Li at (0.0000, 0.0000, 0.0000), Pu at (0.0000, 0.0000, 0.1249), Pu at (0.0000, 0.0000, 0.4990), Pu at (0.0000, 0.0000, 0.6253), Cu at (0.0000, 0.0000, 0.3130), Cu at (0.0000, 0.0000, 0.8117), Cu at (0.0011, 0.5005, 0.0598) and Cu at (0.0045, 0.5022, 0.5644).

***

Here is crystalline LiTlBi3 at its relaxed geometry from Alexandria. Energies are from GGA-PBE.

The total energy is -15.18 eV for the cell shown. Its calculated formation energy is 150 meV/atom. The volume is 151.80 Å³/f.u. As for the crystal system: cubic. Its energy above the most stable polymorph in this dataset is 0 meV per atom.

The space group is Pm-3m (No. 221) and the conventional cell measures 5.3344, 5.3344 and 5.3344 Å, with angles of 90.00, 90.00 and 90.00 degrees. The distinct sites, in fractional coordinates, are Li at (0.0000, 0.0000, 0.0000), Tl at (0.5000, 0.5000, 0.5000) and Bi at (0.0000, 0.0000, 0.5000).

***

Here is crystalline Mn2CrPb at its relaxed geometry from Alexandria. Energies are from GGA-PBE.

The total energy is -30.12 eV for the cell shown. Its calculated formation energy is 388 meV/atom. The volume is 67.74 Å³/f.u. As for the crystal system: tetragonal.

The space group is P4/mmm (No. 123) and the conventional cell measures 3.1906, 3.1906 and 6.6540 Å, with angles of 90.00, 90.00 and 90.00 degrees. The distinct sites, in fractional coordinates, are Mn at (0.0000, 0.0000, 0.1967), Cr at (0.5000, 0.5000, 0.0000) and Pb at (0.5000, 0.5000, 0.5000).

***

Here is crystalline Cs3ReBr2F6 at its relaxed geometry from Alexandria. Energies are from GGA-PBE.

The total energy is -111.12 eV for the cell shown. The volume is 410.18 Å³/f.u. As for the crystal system: monoclinic.

The space group is C2/m (No. 12) and the conventional cell measures 17.6877, 8.5592 and 5.4307 Å, with angles of 90.00, 93.81 and 90.00 degrees. The distinct sites, in fractional coordinates, are Cs at (0.0000, 0.0000, 0.0000), Cs at (0.2500, 0.2500, 0.5000), Re at (0.0000, 0.5000, 0.5000), Br at (0.1946, 0.0000, 0.9886), F at (0.0150, 0.3386, 0.7410) and F at (0.1075, 0.5000, 0.4564).

***

Here is crystalline La2PrY2Tm2 at its relaxed geometry from Alexandria. Energies are from GGA-PBE.

The total energy is -72.55 eV for the cell shown. Its calculated formation energy is 33 meV/atom. The volume is 235.14 Å³/f.u. As for the crystal system: monoclinic.

The space group is C2/m (No. 12) and the conventional cell measures 11.4061, 5.1197 and 8.1390 Å, with angles of 90.00, 98.33 and 90.00 degrees. The distinct sites, in fractional coordinates, are La at (0.1439, 0.0000, 0.4278), Pr at (0.0000, 0.0000, 0.0000), Y at (0.0707, 0.5000, 0.7197) and Tm at (0.2162, 0.5000, 0.1383).